(1)
This record from Alexandria describes MgIrAu2 after structural relaxation. The functional is GGA-PBE.

The structure belongs to space group Cmmm (No. 65); the cell edges are 3.031, 4.797 and 9.311 Å and the angles 90.00°, 90.00° and 90.00°. The asymmetric unit holds Mg at (0.000, 0.000, 0.000), Ir at (0.000, 0.000, 0.500) and Au at (0.000, 0.500, 0.243).

For the calculated volume, the calculation gives 16.9 A^3/atom. The value obtained for the formation enthalpy at 0 K is 0.117 eV/atom.



(2)
This record from Alexandria describes MgIrAu2 after structural relaxation. The functional is GGA-PBE.

The structure belongs to space group P4mm (No. 99); the cell edges are 3.334, 3.334 and 6.060 Å and the angles 90.00°, 90.00° and 90.00°. The asymmetric unit holds Mg at (0.000, 0.000, 0.000), Ir at (0.500, 0.500, 0.774), Au at (0.000, 0.000, 0.519) and Au at (0.500, 0.500, 0.252).

For the calculated volume, the calculation gives 16.8 A^3/atom. The value obtained for the formation enthalpy at 0 K is -0.072 eV/atom.



(3)
This record from Alexandria describes MgIr4Au after structural relaxation. The functional is GGA-PBE.

The structure belongs to space group F-43m (No. 216); the cell edges are 7.383, 7.383 and 7.383 Å and the angles 90.00°, 90.00° and 90.00°. The asymmetric unit holds Mg at (0.000, 0.000, 0.000), Ir at (0.125, 0.125, 0.625) and Au at (0.250, 0.250, 0.250).

For the calculated volume, the calculation gives 16.8 A^3/atom. The value obtained for the formation enthalpy at 0 K is 0.214 eV/atom.



(4)
This record from Alexandria describes Mg6Ir2Au after structural relaxation. The functional is GGA-PBE.

The structure belongs to space group P-3m1 (No. 164); the cell edges are 4.5859, 4.5859 and 8.5921 Å and the angles 90.00°, 90.00° and 120.00°. The asymmetric unit holds Mg at (0.0000, 0.0000, 0.1945), Mg at (0.3333, 0.6667, 0.0662), Mg at (0.3333, 0.6667, 0.4039), Ir at (0.3333, 0.6667, 0.7476) and Au at (0.0000, 0.0000, 0.5000).

For the calculated volume, the calculation gives 17.4 A^3/atom. The value obtained for the formation enthalpy at 0 K is -0.343 eV/atom.



(5)
This record from Alexandria describes MgIrAu2 after structural relaxation. The functional is GGA-PBE.

The structure belongs to space group I4/mmm (No. 139); the cell edges are 4.180, 4.180 and 7.722 Å and the angles 90.00°, 90.00° and 90.00°. The asymmetric unit holds Mg at (0.000, 0.000, 0.000), Ir at (0.000, 0.000, 0.500) and Au at (0.000, 0.500, 0.250).

For the calculated volume, the calculation gives 16.9 A^3/atom. The value obtained for the formation enthalpy at 0 K is -0.090 eV/atom.



(6)
This record from Alexandria describes MgIrAu2 after structural relaxation. The functional is GGA-PBE.

The structure belongs to space group I-4m2 (No. 119); the cell edges are 4.041, 4.041 and 8.202 Å and the angles 90.00°, 90.00° and 90.00°. The asymmetric unit holds Mg at (0.000, 0.000, 0.000), Ir at (0.000, 0.500, 0.250), Au at (0.000, 0.000, 0.500) and Au at (0.000, 0.500, 0.750).

For the calculated volume, the calculation gives 16.7 A^3/atom. The value obtained for the formation enthalpy at 0 K is -0.122 eV/atom.



(7)
This record from Alexandria describes Mg7Ir2Au2 after structural relaxation. The functional is GGA-PBE.

The structure belongs to space group P-1 (No. 2); the cell edges are 5.304, 6.357 and 6.833 Å and the angles 92.79°, 108.98° and 106.97°. The asymmetric unit holds Mg at (0.000, 0.000, 0.000), Mg at (0.151, 0.698, 0.380), Mg at (0.413, 0.020, 0.781), Mg at (0.481, 0.462, 0.206), Ir at (0.141, 0.652, 0.926) and Au at (0.207, 0.185, 0.424).

For the calculated volume, the calculation gives 18.7 A^3/atom. The value obtained for the formation enthalpy at 0 K is -0.382 eV/atom.



(8)
This record from Alexandria describes MgIrAu2 after structural relaxation. The functional is GGA-PBE.

The structure belongs to space group Cmmm (No. 65); the cell edges are 5.840, 7.235 and 3.168 Å and the angles 90.00°, 90.00° and 90.00°. The asymmetric unit holds Mg at (0.000, 0.000, 0.000), Ir at (0.000, 0.500, 0.000) and Au at (0.250, 0.250, 0.500).

For the calculated volume, the calculation gives 16.7 A^3/atom. The value obtained for the formation enthalpy at 0 K is -0.145 eV/atom.